[1]
DFT (PBE) results for a relaxed CePuMnZn crystal.

```
CePuMnZn
1.0
0.000 3.506 3.506
3.506 0.000 3.506
3.506 3.506 0.000
Ce Pu Mn Zn
1 1 1 1
Direct
0.000 0.000 0.000
0.500 0.500 0.500
0.750 0.750 0.750
0.250 0.250 0.250
```

formation enthalpy at 0 K: 0.06 eV/atom
raw total energy: -7.62 eV/atom
N(E_F): 10.86 states/eV/cell

[2]
DFT (PBE) results for a relaxed RbCeMnS3 crystal.

```
RbCeMnS3
1.0
9.096 0.000 0.000
0.000 4.168 0.000
-2.834 0.000 9.116
Rb Ce Mn S
2 2 2 6
Direct
0.202 0.250 0.234
0.798 0.750 0.766
0.329 0.750 0.845
0.671 0.250 0.155
0.085 0.250 0.602
0.915 0.750 0.398
0.125 0.250 0.857
0.187 0.750 0.537
0.463 0.750 0.151
0.537 0.250 0.849
0.813 0.250 0.463
0.875 0.750 0.143
```

raw total energy: -6.12 eV/atom
E_form (uncorrected): -1.379 eV per atom
N(E_F): 11.02 states/eV/cell

Result set for total magnetic moment: 3.8; 8.0 Bohr magnetons per cell, one per record in the order listed.